Below is a relaxed MgZr2Ti2Pd5 crystal, with properties calculated at the GGA-PBE level.

Space-group type: P4/mbm (127)
Total energy: -6.482 eV/atom
DOS(E_F): 7.8 states/eV/f.u.
Total magnetization: 0.000 μB per atom

Cell lengths 3.534, 9.994, 9.994 Å; angles 90.00, 90.00, 90.00 degrees
Fractional coordinates of all 20 atoms:
Pd  0.500  0.961  0.206
Pd  0.500  0.706  0.461
Pd  0.500  0.500  0.000
Pd  0.500  0.039  0.794
Pd  0.500  0.539  0.706
Pd  0.500  0.294  0.539
Pd  0.500  0.794  0.961
Pd  0.500  0.000  0.500
Pd  0.500  0.461  0.294
Pd  0.500  0.206  0.039
Ti  0.000  0.634  0.866
Ti  0.000  0.134  0.634
Ti  0.000  0.866  0.366
Ti  0.000  0.366  0.134
Mg  0.000  0.000  0.000
Mg  0.000  0.500  0.500
Zr  0.000  0.826  0.674
Zr  0.000  0.174  0.326
Zr  0.000  0.674  0.174
Zr  0.000  0.326  0.826


Below is a relaxed Mg2Tl5Pd12 crystal, with properties calculated at the GGA-PBE level.

Space-group type: C2/m (12)
Total energy: -4.195 eV/atom
DOS(E_F): 8.2 states/eV/f.u.
Total magnetization: 0.000 μB per atom

Cell lengths 5.770, 9.359, 9.576 Å; angles 127.07, 90.00, 107.95 degrees
Fractional coordinates of all 19 atoms:
Tl  0.314  0.629  0.670
Tl  0.665  0.330  0.806
Tl  0.686  0.371  0.330
Tl  0.335  0.670  0.194
Tl  0.000  0.000  0.500
Pd  0.846  0.692  0.711
Pd  0.499  0.998  0.767
Pd  0.501  0.002  0.233
Pd  0.154  0.308  0.289
Pd  0.400  0.296  0.542
Pd  0.897  0.296  0.542
Pd  0.915  0.334  0.055
Pd  0.085  0.666  0.945
Pd  0.103  0.704  0.458
Pd  0.581  0.666  0.945
Pd  0.600  0.704  0.458
Pd  0.419  0.334  0.055
Mg  0.760  0.000  0.000
Mg  0.240  0.000  0.000


Below is a relaxed Mg4TlPd7 crystal, with properties calculated at the GGA-PBE level.

Space-group type: C2/m (12)
Total energy: -4.101 eV/atom
DOS(E_F): 4.7 states/eV/f.u.
Total magnetization: 0.000 μB per atom

Cell lengths 5.033, 8.708, 5.830 Å; angles 80.29, 64.43, 73.20 degrees
Fractional coordinates of all 12 atoms:
Mg  0.589  0.232  0.590
Mg  0.742  0.680  0.836
Mg  0.258  0.320  0.164
Mg  0.411  0.768  0.410
Pd  0.212  0.079  0.496
Pd  0.500  0.000  0.000
Pd  0.349  0.531  0.771
Pd  0.651  0.469  0.229
Pd  0.041  0.625  0.292
Pd  0.959  0.375  0.708
Pd  0.788  0.921  0.504
Tl  0.000  0.000  0.000


Below is a relaxed MgTl2Pd5 crystal, with properties calculated at the GGA-PBE level.

Space-group type: C2/m (12)
DOS(E_F): 1.3 states/eV/f.u.
Distance to the lowest polymorph of the same formula: 0.000 eV per atom
Total magnetization: 0.000 μB per atom

Cell lengths 5.970, 5.970, 5.730 Å; angles 121.33, 121.33, 89.98 degrees
Fractional coordinates of all 8 atoms:
Tl  0.722  0.222  0.444
Tl  0.222  0.722  0.444
Mg  0.222  0.222  0.444
Pd  0.222  0.722  0.944
Pd  0.722  0.722  0.444
Pd  0.722  0.222  0.944
Pd  0.722  0.722  0.944
Pd  0.222  0.222  0.944


Below is a relaxed MgTlPd4 crystal, with properties calculated at the GGA-PBE level.

Space-group type: C2/m (12)
DOS(E_F): 2.6 states/eV/f.u.
Distance to the lowest polymorph of the same formula: 0.000 eV per atom
Total magnetization: 0.000 μB per atom

Cell lengths 4.851, 8.832, 4.849 Å; angles 90.00, 76.01, 90.00 degrees
Fractional coordinates of all 12 atoms:
Pd  0.500  0.334  0.500
Pd  0.500  0.836  0.000
Pd  0.500  0.164  0.000
Pd  0.000  0.336  0.000
Pd  0.000  0.166  0.500
Pd  0.500  0.666  0.500
Pd  0.000  0.834  0.500
Pd  0.000  0.664  0.000
Mg  0.000  0.500  0.500
Mg  0.500  0.000  0.500
Tl  0.000  0.000  0.000
Tl  0.500  0.500  0.000


Below is a relaxed MgTl3Pd7 crystal, with properties calculated at the GGA-PBE level.

Space-group type: C2/m (12)
Total energy: -4.205 eV/atom
DOS(E_F): 4.8 states/eV/f.u.
Total magnetization: 0.000 μB per atom

Cell lengths 5.332, 7.243, 7.243 Å; angles 84.25, 118.69, 118.69 degrees
Fractional coordinates of all 11 atoms:
Tl  0.000  0.775  0.225
Tl  0.500  0.000  0.000
Tl  0.000  0.225  0.775
Pd  0.334  0.081  0.581
Pd  0.666  0.419  0.919
Pd  0.666  0.919  0.419
Pd  0.334  0.581  0.081
Pd  0.000  0.500  0.500
Pd  0.637  0.792  0.792
Pd  0.363  0.208  0.208
Mg  0.500  0.500  0.500


Below is a relaxed Mg2Tl2Pd7 crystal, with properties calculated at the GGA-PBE level.

Space-group type: C2/m (12)
Total energy: -4.263 eV/atom
DOS(E_F): 5.5 states/eV/f.u.
Total magnetization: 0.000 μB per atom

Cell lengths 6.733, 4.637, 6.733 Å; angles 83.63, 101.98, 96.37 degrees
Fractional coordinates of all 11 atoms:
Mg  0.273  0.724  0.727
Mg  0.727  0.276  0.273
Pd  0.386  0.229  0.960
Pd  0.434  0.224  0.566
Pd  0.040  0.229  0.614
Pd  0.000  0.000  0.000
Pd  0.614  0.771  0.040
Pd  0.566  0.776  0.434
Pd  0.960  0.771  0.386
Tl  0.210  0.500  0.210
Tl  0.790  0.500  0.790


Below is a relaxed MgTlPd4 crystal, with properties calculated at the GGA-PBE level.

Space-group type: F-43m (216)
DOS(E_F): 7.2 states/eV/f.u.
Distance to the lowest polymorph of the same formula: 0.129 eV per atom
Total magnetization: 0.000 μB per atom

Cell lengths 5.350, 5.350, 5.350 Å; angles 60.00, 60.00, 60.00 degrees
Fractional coordinates of all 6 atoms:
Pd  0.125  0.625  0.625
Pd  0.625  0.625  0.625
Pd  0.625  0.125  0.625
Pd  0.625  0.625  0.125
Tl  0.250  0.250  0.250
Mg  0.000  0.000  0.000


Below is a relaxed Mg12Tl3Pd crystal, with properties calculated at the GGA-PBE level.

Space-group type: P4/mmm (123)
Total energy: -2.079 eV/atom
DOS(E_F): 6.3 states/eV/f.u.
Total magnetization: 0.000 μB per atom

Cell lengths 4.494, 4.494, 17.440 Å; angles 90.00, 90.00, 90.00 degrees
Fractional coordinates of all 16 atoms:
Mg  0.500  0.500  0.762
Mg  0.500  0.500  0.000
Mg  0.500  0.000  0.893
Mg  0.500  0.000  0.631
Mg  0.000  0.500  0.369
Mg  0.500  0.000  0.369
Mg  0.000  0.500  0.107
Mg  0.500  0.500  0.500
Mg  0.500  0.500  0.238
Mg  0.000  0.500  0.893
Mg  0.500  0.000  0.107
Mg  0.000  0.500  0.631
Tl  0.000  0.000  0.500
Tl  0.000  0.000  0.761
Tl  0.000  0.000  0.239
Pd  0.000  0.000  0.000


Below is a relaxed Mg6TlPd12 crystal, with properties calculated at the GGA-PBE level.

Space-group type: R-3m (166)
Total energy: -4.254 eV/atom
DOS(E_F): 10.4 states/eV/f.u.
Total magnetization: 0.000 μB per atom

Cell lengths 7.135, 7.135, 7.135 Å; angles 103.35, 103.35, 103.35 degrees
Fractional coordinates of all 19 atoms:
Pd  0.809  0.421  0.420
Pd  0.420  0.809  0.421
Pd  0.738  0.000  0.262
Pd  0.262  0.000  0.738
Pd  0.580  0.191  0.579
Pd  0.262  0.738  0.000
Pd  0.000  0.738  0.262
Pd  0.421  0.420  0.809
Pd  0.000  0.262  0.738
Pd  0.738  0.262  0.000
Pd  0.579  0.580  0.191
Pd  0.191  0.579  0.580
Mg  0.166  0.448  0.166
Mg  0.448  0.166  0.166
Mg  0.166  0.166  0.448
Mg  0.834  0.834  0.552
Mg  0.552  0.834  0.834
Mg  0.834  0.552  0.834
Tl  0.000  0.000  0.000


Below is a relaxed MgTlPd5 crystal, with properties calculated at the GGA-PBE level.

Space-group type: P4/mmm (123)
DOS(E_F): 5.5 states/eV/f.u.
Distance to the lowest polymorph of the same formula: 0.000 eV per atom
Total magnetization: 0.000 μB per atom

Cell lengths 3.927, 3.927, 8.109 Å; angles 90.00, 90.00, 90.00 degrees
Fractional coordinates of all 7 atoms:
Tl  0.500  0.500  0.000
Pd  0.000  0.500  0.252
Pd  0.500  0.500  0.500
Pd  0.500  0.000  0.748
Pd  0.500  0.000  0.252
Pd  0.000  0.500  0.748
Mg  0.000  0.000  0.500


Below is a relaxed MgTlPd2 crystal, with properties calculated at the GGA-PBE level.

Space-group type: Immm (71)
Total energy: -3.508 eV/atom
DOS(E_F): 2.7 states/eV/f.u.
Total magnetization: 0.000 μB per atom

Cell lengths 6.051, 6.051, 6.051 Å; angles 57.38, 151.09, 131.59 degrees
Fractional coordinates of all 4 atoms:
Tl  0.000  0.500  0.500
Pd  0.000  0.760  0.760
Pd  0.000  0.240  0.240
Mg  0.000  0.000  0.000


> What is the DOS(E_F) in the twelfth record?

2.7 states/eV/f.u.


> Among the records above, which one has the highest DOS(E_F)?

Mg6TlPd12


Please write out number 6 again, unchanged.
Below is a relaxed MgTl3Pd7 crystal, with properties calculated at the GGA-PBE level.

Space-group type: C2/m (12)
Total energy: -4.205 eV/atom
DOS(E_F): 4.8 states/eV/f.u.
Total magnetization: 0.000 μB per atom

Cell lengths 5.332, 7.243, 7.243 Å; angles 84.25, 118.69, 118.69 degrees
Fractional coordinates of all 11 atoms:
Tl  0.000  0.775  0.225
Tl  0.500  0.000  0.000
Tl  0.000  0.225  0.775
Pd  0.334  0.081  0.581
Pd  0.666  0.419  0.919
Pd  0.666  0.919  0.419
Pd  0.334  0.581  0.081
Pd  0.000  0.500  0.500
Pd  0.637  0.792  0.792
Pd  0.363  0.208  0.208
Mg  0.500  0.500  0.500